The following is a SCAN calculation of a PBEsol-optimized structure of ZrTa2Hg, from Alexandria via LeMat-Bulk.

abc: 2.849 5.466 5.685
angles: 116.54 100.70 97.76
Fractional positions:
Hg  0.000  0.500  0.000
Ta  0.000  0.000  0.500
Ta  0.500  0.500  0.500
Zr  0.500  0.000  0.000

Calculated values
**Raw total energy**: -57.8578 eV per atom
**Density**: 14.4 g/cm³
**ΔE_f**: 14.5 kJ/mol of atoms
**Space group**: C2/m (12)

=====

The following is a SCAN calculation of a PBEsol-optimized structure of Ba4NdRu3O12, from Alexandria via LeMat-Bulk.

abc: 5.882 5.888 10.349
angles: 75.97 73.49 60.03
Each line ends with the local moment (μB).
Fractional positions:
Ba  0.871  0.868  0.391  0.00
Ba  0.129  0.132  0.609  0.00
Ba  0.275  0.298  0.152  0.01
Ba  0.725  0.702  0.848  0.01
Nd  0.000  0.000  0.000  0.00
Ru  0.500  0.500  0.500  -0.89
Ru  0.572  0.611  0.245  1.43
Ru  0.428  0.389  0.755  1.43
O  0.760  0.369  0.111  0.13
O  0.240  0.631  0.889  0.13
O  0.750  0.818  0.150  0.12
O  0.250  0.182  0.850  0.12
O  0.719  0.182  0.850  0.12
O  0.281  0.818  0.150  0.12
O  0.623  0.146  0.608  -0.05
O  0.377  0.854  0.392  -0.05
O  0.614  0.600  0.633  0.04
O  0.386  0.400  0.367  0.04
O  0.847  0.400  0.367  0.04
O  0.153  0.600  0.633  0.04

Calculated values
**Raw formation energy**: -2.35 eV/atom
**Raw total energy**: -21.3976 eV per atom
**Density**: 6.7 g/cm³
**Space group**: C2/m (12)

=====

The following is a SCAN calculation of a PBEsol-optimized structure of CaLaY2, from Alexandria via LeMat-Bulk.

abc: 3.595 3.595 10.451
angles: 90.00 90.00 90.00
Each line ends with the local moment (μB).
Fractional positions:
Y  0.000  0.000  0.006  0.06
Y  0.500  0.500  0.234  0.35
Ca  0.000  0.000  0.493  0.04
La  0.500  0.500  0.767  -0.07

Calculated values
**Relative energy among the computed polymorphs**: 0.0 kJ per mole of atoms
**Raw total energy**: -27.0426 eV per atom
**Density**: 4.4 g/cm³
**ΔE_f**: 6.8 kJ/mol of atoms
**Space group**: P4mm (99)